A relaxed CuMoOF2 crystal, computed with PBE+U.

Relative energy among the computed polymorphs (meV per atom): 0.0
DOS(E_F) (states/eV per atom): 0.283
Total DFT energy (no corrections) (eV per atom): -5.20
Calculated volume (Å³/atom): 14.46

abc: 4.197 4.197 4.103
angles: 90.00 90.00 90.00
Space group P4/mmm (No. 123)
Asymmetric unit:
Cu 0.000 0.000 0.000 x1
Mo 0.500 0.500 0.500 x1
O 0.500 0.500 0.000 x1
F 0.000 0.500 0.500 x2